(1)
Here is an optimized crystal structure of Li8Zn4O11 from OQMD. Energies are from PBE-GGA.

a = 5.024 Å, b = 5.039 Å, c = 8.749 Å
α = 83.79°, β = 74.03°, γ = 79.37°
Fractional coordinates of all 23 atoms:
1 Li 0.000 0.000 0.000
2 Li 0.029 0.236 0.435
3 Li 0.122 0.490 0.850
4 Li 0.285 0.983 0.682
5 Li 0.456 0.485 0.517
6 Li 0.539 0.728 0.917
7 Li 0.589 0.999 0.377
8 Li 0.811 0.452 0.186
9 Zn 0.178 0.726 0.273
10 Zn 0.378 0.260 0.096
11 Zn 0.711 0.233 0.766
12 Zn 0.867 0.734 0.599
13 O 0.058 0.102 0.214
14 O 0.062 0.367 0.647
15 O 0.145 0.635 0.067
16 O 0.230 0.842 0.468
17 O 0.361 0.120 0.901
18 O 0.430 0.371 0.291
19 O 0.510 0.597 0.721
20 O 0.654 0.095 0.567
21 O 0.740 0.351 0.985
22 O 0.805 0.624 0.387
23 O 0.920 0.872 0.806

- E (eV/atom) = -4.55
- V (A^3/atom) = 9.1
- space group = P1



(2)
Here is an optimized crystal structure of ScTaFeBi from OQMD. Energies are from PBE-GGA.

a = 4.703 Å, b = 4.703 Å, c = 4.703 Å
α = 60.00°, β = 60.00°, γ = 60.00°
Fractional coordinates of all 4 atoms:
1 Sc 0.000 0.000 0.000
2 Ta 0.750 0.750 0.750
3 Fe 0.500 0.500 0.500
4 Bi 0.250 0.250 0.250

- E (eV/atom) = -7.19
- V (A^3/atom) = 18.4
- space group = F-43m



E of number 2 (ScTaFeBi)? -7.19 eV/atom



What is the V in the first record? 9.1 A^3/atom



What is the E in the first record? -4.55 eV/atom



Among the records above, which one has the lowest E? ScTaFeBi